No. 1
An optimized crystal structure of FeGe2Br. Source: Alexandria, functional GGA-PBE.

Structure (POSCAR):
```
FeGe2Br
1.0
-2.946 2.946 5.839
2.946 -2.946 5.839
2.946 2.946 -5.839
Fe Ge Br
2 4 2
Cartesian
0.000 0.000 0.000 Fe
0.000 2.946 2.920 Fe
4.420 0.880 -1.460 Ge
0.880 1.473 1.460 Ge
-1.473 2.067 4.379 Ge
2.067 1.473 7.299 Ge
2.946 0.000 2.920 Br
0.000 0.000 5.839 Br
```

Summary:
The value obtained for the energy above the most stable polymorph in this dataset is 0.00 eV per formula unit. The density of states at the Fermi level is 4.25 states/eV per cell. Its total energy is -4.464 eV per atom. The value obtained for the uncorrected formation energy is 0.378 eV/atom.

---

No. 2
An optimized crystal structure of FeGe2Br2. Source: Alexandria, functional GGA-PBE.

Structure (POSCAR):
```
FeGe2Br2
1.0
6.574 0.000 0.000
0.000 6.574 0.000
0.000 0.000 5.657
Fe Ge Br
2 4 4
Cartesian
0.000 0.000 0.000 Fe
3.287 3.287 0.000 Fe
1.490 1.797 2.829 Ge
1.797 5.083 2.829 Ge
4.777 1.490 2.829 Ge
5.083 4.777 2.829 Ge
1.169 2.118 0.000 Br
2.118 5.405 0.000 Br
4.456 1.169 0.000 Br
5.405 4.456 0.000 Br
```

Summary:
The density of states at the Fermi level is 12.60 states/eV per cell. Its total energy is -3.792 eV per atom. The value obtained for the uncorrected formation energy is 0.417 eV/atom.

---

No. 3
An optimized crystal structure of HfFeGe2Br. Source: Alexandria, functional GGA-PBE.

Structure (POSCAR):
```
HfFeGe2Br
1.0
4.391 0.000 0.000
0.000 4.391 0.000
0.000 0.000 5.021
Hf Fe Ge Br
1 1 2 1
Cartesian
0.000 0.000 0.000 Hf
0.000 0.000 2.510 Fe
0.000 2.195 2.510 Ge
2.195 0.000 2.510 Ge
2.195 2.195 0.000 Br
```

Summary:
The density of states at the Fermi level is 2.29 states/eV per cell. Its total energy is -5.898 eV per atom. The value obtained for the uncorrected formation energy is -0.033 eV/atom.

---

No. 4
An optimized crystal structure of Fe2HgGeBr. Source: Alexandria, functional GGA-PBE.

Structure (POSCAR):
```
Fe2HgGeBr
1.0
4.444 0.000 0.000
0.000 4.444 0.000
0.000 0.000 5.490
Fe Hg Ge Br
2 1 1 1
Cartesian
0.000 2.222 0.000 Fe
2.222 0.000 0.000 Fe
0.000 0.000 2.745 Hg
2.222 2.222 2.745 Ge
2.222 2.222 0.000 Br
```

Summary:
The density of states at the Fermi level is 4.92 states/eV per cell. Its total energy is -3.613 eV per atom. The value obtained for the uncorrected formation energy is 1.090 eV/atom.

---

No. 5
An optimized crystal structure of FeGeIr2Br. Source: Alexandria, functional GGA-PBE.

Structure (POSCAR):
```
FeGeIr2Br
1.0
4.643 0.000 0.000
0.000 4.643 0.000
0.000 0.000 4.625
Fe Ge Ir Br
1 1 2 1
Cartesian
0.000 0.000 0.000 Fe
0.000 0.000 2.313 Ge
0.000 2.321 2.313 Ir
2.321 0.000 2.313 Ir
2.321 2.321 0.000 Br
```

Summary:
The density of states at the Fermi level is 7.09 states/eV per cell. Its total energy is -5.254 eV per atom. The value obtained for the uncorrected formation energy is 1.241 eV/atom.

---

No. 6
An optimized crystal structure of LiFeGe2Br. Source: Alexandria, functional GGA-PBE.

Structure (POSCAR):
```
LiFeGe2Br
1.0
5.437 0.000 0.000
0.000 5.437 0.000
0.000 0.000 4.415
Li Fe Ge Br
1 1 2 1
Cartesian
0.000 0.000 0.000 Li
2.719 2.719 0.000 Fe
0.000 2.719 2.208 Ge
2.719 0.000 2.208 Ge
2.719 2.719 2.208 Br
```

Summary:
The density of states at the Fermi level is 4.11 states/eV per cell. Its total energy is -3.318 eV per atom. The value obtained for the uncorrected formation energy is 0.939 eV/atom.

---

No. 7
An optimized crystal structure of FeGeBrN2. Source: Alexandria, functional GGA-PBE.

Structure (POSCAR):
```
FeGeBrN2
1.0
3.672 0.000 0.000
0.000 3.672 0.000
0.000 0.000 6.025
Fe Ge Br N
1 1 1 2
Cartesian
0.000 0.000 0.000 Fe
1.836 1.836 3.012 Ge
1.836 1.836 0.000 Br
0.000 1.836 3.012 N
1.836 0.000 3.012 N
```

Summary:
The density of states at the Fermi level is 5.95 states/eV per cell. Its total energy is -5.012 eV per atom. The value obtained for the uncorrected formation energy is 1.268 eV/atom.

---

No. 8
An optimized crystal structure of FeGeP2Br. Source: Alexandria, functional GGA-PBE.

Structure (POSCAR):
```
FeGeP2Br
1.0
5.010 0.000 0.000
0.000 5.010 0.000
0.000 0.000 4.398
Fe Ge P Br
1 1 2 1
Cartesian
0.000 0.000 0.000 Fe
2.505 2.505 0.000 Ge
0.000 2.505 2.199 P
2.505 0.000 2.199 P
0.000 0.000 2.199 Br
```

Summary:
The density of states at the Fermi level is 4.95 states/eV per cell. Its total energy is -3.677 eV per atom. The value obtained for the uncorrected formation energy is 1.438 eV/atom.

---

No. 9
An optimized crystal structure of Rb2FeGeBr6. Source: Alexandria, functional GGA-PBE.

Structure (POSCAR):
```
Rb2FeGeBr6
1.0
0.000 5.425 5.425
5.425 0.000 5.425
5.425 5.425 0.000
Rb Fe Ge Br
2 1 1 6
Cartesian
2.713 2.713 2.713 Rb
8.138 8.138 8.138 Rb
0.000 0.000 0.000 Fe
5.425 5.425 5.425 Ge
5.425 5.425 2.627 Br
5.425 2.627 5.425 Br
8.224 5.425 5.425 Br
2.627 5.425 5.425 Br
5.425 8.224 5.425 Br
5.425 5.425 8.224 Br
```

Summary:
The density of states at the Fermi level is 7.85 states/eV per cell. Its total energy is -3.473 eV per atom. The value obtained for the uncorrected formation energy is -0.968 eV/atom.

---

No. 10
An optimized crystal structure of ScFeGe2Br. Source: Alexandria, functional GGA-PBE.

Structure (POSCAR):
```
ScFeGe2Br
1.0
5.388 0.000 0.000
0.000 5.388 0.000
0.000 0.000 4.292
Sc Fe Ge Br
1 1 2 1
Cartesian
0.000 0.000 0.000 Sc
0.000 0.000 2.146 Fe
0.000 2.694 0.000 Ge
2.694 0.000 0.000 Ge
2.694 2.694 2.146 Br
```

Summary:
The density of states at the Fermi level is 8.08 states/eV per cell. Its total energy is -4.145 eV per atom. The value obtained for the uncorrected formation energy is 0.995 eV/atom.

---

No. 11
An optimized crystal structure of FeGeSeBr2. Source: Alexandria, functional GGA-PBE.

Structure (POSCAR):
```
FeGeSeBr2
1.0
5.213 0.000 0.000
0.000 5.213 0.000
0.000 0.000 5.172
Fe Ge Se Br
1 1 1 2
Cartesian
0.000 0.000 0.000 Fe
2.607 2.607 2.586 Ge
2.607 2.607 0.000 Se
0.000 2.607 2.586 Br
2.607 0.000 2.586 Br
```

Summary:
The value obtained for the energy above the most stable polymorph in this dataset is 0.85 eV per formula unit. The density of states at the Fermi level is 7.50 states/eV per cell. Its total energy is -3.476 eV per atom. The value obtained for the uncorrected formation energy is 0.506 eV/atom.

---

No. 12
An optimized crystal structure of FeGeSeBr2. Source: Alexandria, functional GGA-PBE.

Structure (POSCAR):
```
FeGeSeBr2
1.0
4.965 0.000 0.000
0.000 4.965 0.000
0.000 0.000 4.941
Fe Ge Se Br
1 1 1 2
Cartesian
0.000 0.000 0.000 Fe
2.482 2.482 2.470 Ge
0.000 0.000 2.470 Se
0.000 2.482 0.000 Br
2.482 0.000 0.000 Br
```

Summary:
The value obtained for the energy above the most stable polymorph in this dataset is 0.00 eV per formula unit. The density of states at the Fermi level is 9.65 states/eV per cell. Its total energy is -3.645 eV per atom. The value obtained for the uncorrected formation energy is 0.337 eV/atom.

---

No. 13
An optimized crystal structure of FeSn2GeBr. Source: Alexandria, functional GGA-PBE.

Structure (POSCAR):
```
FeSn2GeBr
1.0
5.046 0.000 0.000
0.000 5.046 0.000
0.000 0.000 4.519
Fe Sn Ge Br
1 2 1 1
Cartesian
0.000 0.000 0.000 Fe
0.000 2.523 0.000 Sn
2.523 0.000 0.000 Sn
0.000 0.000 2.260 Ge
2.523 2.523 2.260 Br
```

Summary:
The value obtained for the energy above the most stable polymorph in this dataset is 0.00 eV per formula unit. The density of states at the Fermi level is 2.68 states/eV per cell. Its total energy is -4.657 eV per atom. The value obtained for the uncorrected formation energy is -0.105 eV/atom.